PmPuCuRh, optimized geometry, DFT PBE-GGA; space group = F-43m, No. 216; calculated formation energy = -278 meV/atom
1.0
0.0000 3.4997 3.4997
3.4997 0.0000 3.4997
3.4997 3.4997 0.0000
Pm Pu Cu Rh
1 1 1 1
Direct
0.0000 0.0000 0.0000
0.5000 0.5000 0.5000
0.2500 0.2500 0.2500
0.7500 0.7500 0.7500

***

La3Tb2Ho7, optimized geometry, DFT PBE-GGA; space group = P2/m, No. 10; calculated formation energy = 234 meV/atom
1.0
3.6566 0.0000 0.0000
0.0000 5.6282 0.0000
-1.8305 0.0000 20.3616
La Tb Ho
3 2 7
Direct
0.0000 0.0000 0.0000
0.3275 0.5000 0.6556
0.6725 0.5000 0.3444
0.1374 0.0000 0.2742
0.8626 0.0000 0.7258
0.0846 0.5000 0.1685
0.2157 0.0000 0.4314
0.4316 0.0000 0.8637
0.5000 0.5000 0.0000
0.5684 0.0000 0.1363
0.7843 0.0000 0.5686
0.9154 0.5000 0.8315

***

TcAgSb2, optimized geometry, DFT PBE-GGA; space group = P4mm, No. 99; relative energy among the computed polymorphs = 225.7 meV/atom; E_form (uncorrected) = 0.335 eV per atom
1.0
3.7959 0.0000 0.0000
0.0000 3.7959 0.0000
0.0000 0.0000 5.7192
Tc Ag Sb
1 1 2
Direct
0.0000 0.0000 0.0000
0.5000 0.5000 0.3186
0.0000 0.0000 0.4873
0.5000 0.5000 0.8442

***

RbNa2Ga, optimized geometry, DFT PBE-GGA; space group = P4/mmm, No. 123; calculated formation energy = 97 meV/atom
1.0
4.1067 0.0000 0.0000
0.0000 4.1067 0.0000
0.0000 0.0000 9.1167
Rb Na Ga
1 2 1
Direct
0.0000 0.0000 0.0000
0.5000 0.5000 0.3320
0.5000 0.5000 0.6680
0.0000 0.0000 0.5000

***

Listing ρ for the structures above in their given order: 10759, 7486, 9055, 2173 kg/m³.
Listing D(E_F) for the structures above in their given order: 11.36, 20.53, 3.21, 1.75 states/eV/cell.